# DyAl3N, optimized geometry, DFT GGA-PBE
# - energy (eV/atom) = -4.783
# - calculated volume (Å³ per cell) = 81.83
data_DyAl3N
_cell_length_a 4.341
_cell_length_b 4.341
_cell_length_c 4.341
_cell_angle_alpha 90.00
_cell_angle_beta 90.00
_cell_angle_gamma 90.00
_symmetry_space_group_name_H-M 'P 1'
_symmetry_Int_Tables_number 1
_symmetry_space_group_name_Hall 'P 1'
loop_
_atom_site_label
_atom_site_type_symbol
_atom_site_fract_x
_atom_site_fract_y
_atom_site_fract_z
Al1 Al 0.500 0.500 0.000
Al2 Al 0.500 0.000 0.500
Al3 Al 0.000 0.500 0.500
Dy1 Dy 0.000 0.000 0.000
N1 N 0.500 0.500 0.500


# HoInFeTe3, optimized geometry, DFT GGA-PBE
# - calculated volume (Å³ per cell) = 677.19
# - polymorph energy (0 for the lowest one) (meV per atom) = 40.6
data_HoInFeTe3
_cell_length_a 12.572
_cell_length_b 4.229
_cell_length_c 12.737
_cell_angle_alpha 90.00
_cell_angle_beta 90.00
_cell_angle_gamma 90.00
_symmetry_space_group_name_H-M 'P 1'
_symmetry_Int_Tables_number 1
_symmetry_space_group_name_Hall 'P 1'
loop_
_atom_site_label
_atom_site_type_symbol
_atom_site_fract_x
_atom_site_fract_y
_atom_site_fract_z
Fe1 Fe 0.835 0.500 0.224
Fe2 Fe 0.335 0.000 0.276
Fe3 Fe 0.665 0.500 0.724
Fe4 Fe 0.165 0.000 0.776
Ho1 Ho 0.688 0.000 0.019
Ho2 Ho 0.188 0.500 0.481
Ho3 Ho 0.812 0.000 0.519
Ho4 Ho 0.312 0.500 0.981
In1 In 0.991 0.000 0.190
In2 In 0.491 0.500 0.310
In3 In 0.509 0.000 0.690
In4 In 0.009 0.500 0.810
Te1 Te 0.863 0.500 0.020
Te2 Te 0.445 0.000 0.102
Te3 Te 0.210 0.500 0.237
Te4 Te 0.710 0.000 0.263
Te5 Te 0.945 0.500 0.398
Te6 Te 0.363 0.000 0.480
Te7 Te 0.637 0.500 0.520
Te8 Te 0.055 0.000 0.602
Te9 Te 0.290 0.500 0.737
Te10 Te 0.790 0.000 0.763
Te11 Te 0.555 0.500 0.898
Te12 Te 0.137 0.000 0.980


# Cs2Li2NbTe4, optimized geometry, DFT GGA-PBE
# - energy (eV/atom) = -3.967
# - calculated volume (Å³ per cell) = 336.82
data_Cs2Li2NbTe4
_cell_length_a 8.222
_cell_length_b 8.222
_cell_length_c 6.691
_cell_angle_alpha 90.00
_cell_angle_beta 90.00
_cell_angle_gamma 131.87
_symmetry_space_group_name_H-M 'P 1'
_symmetry_Int_Tables_number 1
_symmetry_space_group_name_Hall 'P 1'
loop_
_atom_site_label
_atom_site_type_symbol
_atom_site_fract_x
_atom_site_fract_y
_atom_site_fract_z
Cs1 Cs 0.500 0.000 0.260
Cs2 Cs 0.000 0.500 0.740
Li1 Li 0.500 0.500 0.000
Li2 Li 0.000 0.000 0.500
Nb1 Nb 0.000 0.000 0.000
Te1 Te 0.135 0.335 0.234
Te2 Te 0.865 0.665 0.234
Te3 Te 0.335 0.135 0.766
Te4 Te 0.665 0.865 0.766


# RbCuNiTeS2, optimized geometry, DFT GGA-PBE
# - energy (eV/atom) = -3.966
# - calculated volume (Å³ per cell) = 280.72
data_RbCuNiTeS2
_cell_length_a 8.208
_cell_length_b 8.208
_cell_length_c 9.949
_cell_angle_alpha 90.00
_cell_angle_beta 90.00
_cell_angle_gamma 155.24
_symmetry_space_group_name_H-M 'P 1'
_symmetry_Int_Tables_number 1
_symmetry_space_group_name_Hall 'P 1'
loop_
_atom_site_label
_atom_site_type_symbol
_atom_site_fract_x
_atom_site_fract_y
_atom_site_fract_z
Cu1 Cu 0.949 0.051 0.250
Cu2 Cu 0.051 0.949 0.750
Ni1 Ni 0.500 0.500 0.000
Ni2 Ni 0.500 0.500 0.500
Rb1 Rb 0.267 0.733 0.250
Rb2 Rb 0.733 0.267 0.750
S1 S 0.905 0.095 0.037
S2 S 0.905 0.095 0.463
S3 S 0.095 0.905 0.537
S4 S 0.095 0.905 0.963
Te1 Te 0.568 0.432 0.250
Te2 Te 0.432 0.568 0.750


# HfTa2N3, optimized geometry, DFT GGA-PBE
# - energy (eV/atom) = -10.736
# - calculated volume (Å³ per cell) = 70.77
data_HfTa2N3
_cell_length_a 5.231
_cell_length_b 5.231
_cell_length_c 2.986
_cell_angle_alpha 90.00
_cell_angle_beta 90.00
_cell_angle_gamma 120.00
_symmetry_space_group_name_H-M 'P 1'
_symmetry_Int_Tables_number 1
_symmetry_space_group_name_Hall 'P 1'
loop_
_atom_site_label
_atom_site_type_symbol
_atom_site_fract_x
_atom_site_fract_y
_atom_site_fract_z
Hf1 Hf 0.000 0.000 0.000
N1 N 0.500 0.000 0.000
N2 N 0.000 0.500 0.000
N3 N 0.500 0.500 0.000
Ta1 Ta 0.667 0.333 0.500
Ta2 Ta 0.333 0.667 0.500


# NdHoSc2Sb2, optimized geometry, DFT GGA-PBE
# - energy (eV/atom) = -5.876
# - calculated volume (Å³ per cell) = 157.76
data_NdHoSc2Sb2
_cell_length_a 8.763
_cell_length_b 8.763
_cell_length_c 8.763
_cell_angle_alpha 151.00
_cell_angle_beta 151.00
_cell_angle_gamma 41.47
_symmetry_space_group_name_H-M 'P 1'
_symmetry_Int_Tables_number 1
_symmetry_space_group_name_Hall 'P 1'
loop_
_atom_site_label
_atom_site_type_symbol
_atom_site_fract_x
_atom_site_fract_y
_atom_site_fract_z
Ho1 Ho 0.675 0.675 0.000
Nd1 Nd 0.323 0.323 0.000
Sb1 Sb 0.129 0.129 0.000
Sb2 Sb 0.870 0.870 0.000
Sc1 Sc 0.501 0.001 0.500
Sc2 Sc 0.001 0.501 0.500


Copy entry 4 word for word.
# RbCuNiTeS2, optimized geometry, DFT GGA-PBE
# - energy (eV/atom) = -3.966
# - calculated volume (Å³ per cell) = 280.72
data_RbCuNiTeS2
_cell_length_a 8.208
_cell_length_b 8.208
_cell_length_c 9.949
_cell_angle_alpha 90.00
_cell_angle_beta 90.00
_cell_angle_gamma 155.24
_symmetry_space_group_name_H-M 'P 1'
_symmetry_Int_Tables_number 1
_symmetry_space_group_name_Hall 'P 1'
loop_
_atom_site_label
_atom_site_type_symbol
_atom_site_fract_x
_atom_site_fract_y
_atom_site_fract_z
Cu1 Cu 0.949 0.051 0.250
Cu2 Cu 0.051 0.949 0.750
Ni1 Ni 0.500 0.500 0.000
Ni2 Ni 0.500 0.500 0.500
Rb1 Rb 0.267 0.733 0.250
Rb2 Rb 0.733 0.267 0.750
S1 S 0.905 0.095 0.037
S2 S 0.905 0.095 0.463
S3 S 0.095 0.905 0.537
S4 S 0.095 0.905 0.963
Te1 Te 0.568 0.432 0.250
Te2 Te 0.432 0.568 0.750